# CaOsPt2

A crystal of CaOsPt2 relaxed with PBEsol (meta-GGA SCAN, Alexandria via LeMat-Bulk).

Results
Offset from the most stable computed form in meV per atom: 95.4

Lattice parameters (Å, degrees): 5.8022 5.8022 5.8022 152.42 131.95 56.30
Last column: nearest neighbours and their distance in Å.
Sites, in units of the cell vectors:
Ca1 0.0000 0.0000 0.0000  4 Pt 2.74, 2 Ca 2.77
Os1 0.2759 0.7759 0.5000  6 Pt 2.64-2.78, 2 Os 2.77
Pt1 0.4952 0.4952 0.0000  2 Os 2.64, 4 Ca 2.74, 4 Pt 2.77-2.78
Pt2 0.7307 0.2307 0.5000  4 Pt 2.77-2.78, 4 Os 2.78, 2 Ca 3.08

=====

# LiMnBe2

A crystal of LiMnBe2 relaxed with PBEsol (meta-GGA SCAN, Alexandria via LeMat-Bulk).

Results
Raw total energy in eV/atom: -7.1044

Lattice parameters (Å, degrees): 4.0175 4.0175 4.7450 93.23 93.23 31.71
Last column: nearest neighbours and their distance in Å.
Sites, in units of the cell vectors:
Li1 0.0000 0.0000 0.0000  2 Li 2.20, 2 Be 2.43
Mn1 0.5000 0.5000 0.5000  2 Mn 2.20, 6 Be 2.24-2.34
Be1 0.2450 0.2450 0.7012  4 Be 2.20-2.21, 3 Mn 2.24-2.34, 1 Li 2.43
Be2 0.7550 0.7550 0.2988  4 Be 2.20-2.21, 3 Mn 2.24-2.34, 1 Li 2.43

=====

# Ta2AlPt

A crystal of Ta2AlPt relaxed with PBEsol (meta-GGA SCAN, Alexandria via LeMat-Bulk).

Results
Raw total energy in eV/atom: -53.4422

Lattice parameters (Å, degrees): 5.1934 5.1934 5.1934 141.32 132.65 62.73
Last column: nearest neighbours and their distance in Å.
Sites, in units of the cell vectors:
Ta1 0.2478 0.2478 0.0000  4 Ta 2.70, 2 Pt 2.79, 2 Al 2.82
Ta2 0.7522 0.7522 0.0000  4 Ta 2.70, 2 Pt 2.79, 2 Al 2.82
Al1 0.5000 0.0000 0.5000  4 Pt 2.70, 4 Ta 2.82
Pt1 0.0000 0.5000 0.5000  4 Al 2.70, 4 Ta 2.79

=====

# K3GaRh

A crystal of K3GaRh relaxed with PBEsol (meta-GGA SCAN, Alexandria via LeMat-Bulk).

Results
Raw total energy in eV/atom: -14.0493

Lattice parameters (Å, degrees): 6.0889 6.0889 6.0889 90.00 90.00 90.00
Last column: nearest neighbours and their distance in Å.
Sites, in units of the cell vectors:
K1 0.0000 0.0000 0.5000  2 Ga 3.04
K2 0.0000 0.5000 0.0000  2 Ga 3.04
K3 0.5000 0.0000 0.0000  2 Ga 3.04
Ga1 0.0000 0.0000 0.0000  6 K 3.04
Rh1 0.5000 0.5000 0.5000  12 K 4.31

=====

# FeOs2Br

A crystal of FeOs2Br relaxed with PBEsol (meta-GGA SCAN, Alexandria via LeMat-Bulk).

Results
Offset from the most stable computed form in meV per atom: 34.5
Formation energy from raw total energies in eV/f.u.: 3.6

Lattice parameters (Å, degrees): 2.6321 2.6321 11.1166 90.00 90.00 116.46
Last column: nearest neighbours and their distance in Å.
Sites, in units of the cell vectors:
Fe1 0.0000 0.0000 0.0000  4 Os 2.49, 6 Fe 2.63-2.77
Os1 0.5000 0.5000 0.1856  2 Fe 2.49, 6 Os 2.63-2.77
Os2 0.5000 0.5000 0.8144  2 Fe 2.49, 6 Os 2.63-2.77
Br1 0.0000 0.0000 0.5000  6 Br 2.63-2.77

=====

# NaHgPS2

A crystal of NaHgPS2 relaxed with PBEsol (meta-GGA SCAN, Alexandria via LeMat-Bulk).

Results
Formation energy from raw total energies in eV/f.u.: 2.4

Lattice parameters (Å, degrees): 5.0962 5.0962 4.8953 90.00 90.00 90.00
Last column: nearest neighbours and their distance in Å.
Sites, in units of the cell vectors:
Na1 0.0000 0.0000 0.0000  8 S 3.53, 4 P 3.60
Hg1 0.5000 0.5000 0.5000  2 P 2.45, 4 S 2.55
P1 0.5000 0.5000 0.0000  2 Hg 2.45
S1 0.0000 0.5000 0.5000  2 Hg 2.55
S2 0.5000 0.0000 0.5000  2 Hg 2.55

=====

# Ba2PCl

A crystal of Ba2PCl relaxed with PBEsol (meta-GGA SCAN, Alexandria via LeMat-Bulk).

Results
Offset from the most stable computed form in meV per atom: 457.6
Formation energy from raw total energies in eV/f.u.: -5.7

Lattice parameters (Å, degrees): 6.7858 6.7858 6.7858 141.45 141.45 55.66
Last column: nearest neighbours and their distance in Å.
Sites, in units of the cell vectors:
Ba1 0.0000 0.0000 0.0000  4 Cl 3.17
Ba2 0.7500 0.2500 0.5000  4 P 3.17
P1 0.2500 0.7500 0.5000  4 Ba 3.17
Cl1 0.5000 0.5000 0.0000  4 Ba 3.17

=====

# PW2Se

A crystal of PW2Se relaxed with PBEsol (meta-GGA SCAN, Alexandria via LeMat-Bulk).

Results
Offset from the most stable computed form in meV per atom: 0.0
Formation energy from raw total energies in eV/f.u.: 0.6

Lattice parameters (Å, degrees): 6.5990 6.5990 6.5990 152.53 151.17 40.25
Last column: nearest neighbours and their distance in Å.
Sites, in units of the cell vectors:
P1 0.0000 0.0000 0.0000  6 W 2.39
W1 0.4390 0.4390 0.0000  4 P 2.39
W2 0.6402 0.1402 0.5000  2 P 2.39, 4 Se 2.64
Se1 0.2496 0.7496 0.5000  6 W 2.64-2.82